YHf3Rh4 | PBE | relaxed

Computed properties:
For the calculated formation energy, the calculation gives -0.88 eV per atom. The magnetization comes out at 0.000 μB/atom.

a b c (Å): 4.5530 4.5530 25.0752
angles (deg): 90.00 90.00 120.00
Space group R-3m (No. 166, hexagonal axes)
Asymmetric unit:
Y  0.0000  0.0000  0.0000
Hf  0.0000  0.0000  0.2467
Hf  0.0000  0.0000  0.5000
Rh  0.0000  0.0000  0.1322
Rh  0.0000  0.0000  0.3953